Compound: SrTc2Ag
Source: Alexandria
Functional: GGA-PBE
Structure: optimized geometry

abc: 5.8839 5.8839 2.7640
angles: 99.65 99.65 122.97
Last column: nearest neighbours and their distance in Å.
Atoms (fractional coordinates):
Sr  0.0000  0.0000  0.0000  2 Sr 2.76, 2 Ag 2.81, 4 Tc 3.03
Tc  0.0000  0.5000  0.5000  4 Tc 2.76-2.81, 2 Sr 3.03, 2 Ag 3.03
Tc  0.5000  0.0000  0.5000  4 Tc 2.76-2.81, 2 Sr 3.03, 2 Ag 3.03
Ag  0.5000  0.5000  0.0000  2 Ag 2.76, 2 Sr 2.81, 4 Tc 3.03

Values from the calculation:
- Space-group type: No. 12
- Crystal system: monoclinic
- Energy above the lowest structure with this stoichiometry: 512.6 meV per atom
- ΔH_f (0 K): 0.86 eV/atom